Entry one
{"formula": "CrTc2Os", "functional": "PBE", "state": "relaxed", "cell": [[-1.504, 3.367, 1.797], [-1.299, 0.644, -2.294], [-4.649, -2.284, 0.387]], "species": ["Tc", "Tc", "Os", "Cr"], "frac_coords": [[0.500, 0.420, 0.257], [0.000, 0.044, 0.006], [0.500, 0.696, 0.730], [0.000, 0.339, 0.507]], "space_group": "Pm", "crystal_system": "monoclinic"}

---

Entry two
{"formula": "CrTc2Os", "functional": "PBE", "state": "relaxed", "cell": [[-8.586, 0.641, 2.477], [-7.753, -1.125, 4.347], [-7.436, 1.528, 4.758]], "species": ["Tc", "Tc", "Os", "Cr"], "frac_coords": [[0.503, 0.503, 0.503], [0.997, 0.997, 0.997], [0.750, 0.750, 0.750], [0.250, 0.250, 0.250]], "space_group": "R-3m", "crystal_system": "trigonal"}

---

Entry three
{"formula": "CrTc2Os", "functional": "PBE", "state": "relaxed", "cell": [[-0.233, 2.117, -1.678], [2.184, -1.779, -2.548], [-4.401, -2.236, -2.211]], "species": ["Os", "Tc", "Tc", "Cr"], "frac_coords": [[0.500, 0.500, 0.750], [0.000, 0.000, 0.491], [0.000, 0.000, 0.009], [0.500, 0.500, 0.250]], "space_group": "Pmmm", "crystal_system": "orthorhombic"}

---

Entry four
{"formula": "CrTc2Os", "functional": "PBE", "state": "relaxed", "cell": [[2.713, 0.000, 0.000], [0.000, 2.713, 0.000], [0.000, 0.000, 7.550]], "species": ["Tc", "Tc", "Cr", "Os"], "frac_coords": [[0.000, 0.000, 0.998], [0.500, 0.500, 0.263], [0.000, 0.000, 0.504], [0.500, 0.500, 0.735]], "space_group": "P4mm", "crystal_system": "tetragonal"}

---

Winner for stability: entry four

---

Entry one
{"formula": "CrTcOs", "functional": "PBE", "state": "relaxed", "cell": [[-0.153, -3.502, -1.550], [3.978, -1.198, 2.315], [-2.895, -1.688, 4.099]], "species": ["Cr", "Cr", "Os", "Os", "Tc", "Tc"], "frac_coords": [[0.500, 0.204, 0.750], [0.500, 0.796, 0.250], [0.000, 0.000, 0.000], [0.000, 0.000, 0.500], [0.000, 0.478, 0.250], [0.000, 0.522, 0.750]], "space_group": "Pmma", "crystal_system": "orthorhombic"}

---

Entry two
{"formula": "CrTcOs", "functional": "PBE", "state": "relaxed", "cell": [[4.648, -0.007, 0.006], [2.332, 4.020, -0.006], [-3.117, -2.655, 2.199]], "species": ["Cr", "Os", "Tc"], "frac_coords": [[0.998, 0.998, 0.000], [0.337, 0.337, 0.000], [0.665, 0.665, 0.000]], "space_group": "Imm2", "crystal_system": "orthorhombic"}

---

Winner for stability: entry two

---

Entry one
{"formula": "CrTcOs", "functional": "PBE", "state": "relaxed", "cell": [[-2.583, -1.546, -2.681], [1.315, -1.155, -3.631], [0.167, -3.919, -0.931]], "species": ["Os", "Tc", "Cr"], "frac_coords": [[0.000, 0.000, 0.000], [0.500, 0.500, 0.500], [0.750, 0.750, 0.750]], "space_group": "F-43m", "crystal_system": "cubic"}

---

Entry two
{"formula": "CrTcOs", "functional": "PBE", "state": "relaxed", "cell": [[-0.132, 4.078, -4.340], [-3.663, 2.733, -3.821], [1.568, -2.042, 5.372]], "species": ["Os", "Tc", "Cr"], "frac_coords": [[0.340, 0.340, 0.000], [0.663, 0.663, 0.000], [0.996, 0.996, 0.000]], "space_group": "I4mm", "crystal_system": "tetragonal"}

---

Entry three
{"formula": "CrTcOs", "functional": "PBE", "state": "relaxed", "cell": [[-0.102, -3.731, -1.926], [3.686, 1.833, 0.833], [0.074, -1.232, 2.382]], "species": ["Os", "Cr", "Tc"], "frac_coords": [[0.667, 0.333, 0.333], [0.000, 0.000, 0.833], [0.333, 0.667, 0.833]], "space_group": "P-6m2", "crystal_system": "hexagonal"}

---

Entry four
{"formula": "CrTcOs", "functional": "PBE", "state": "relaxed", "cell": [[6.746, -0.006, 0.004], [6.027, 2.549, 0.002], [0.719, -0.846, 2.410]], "species": ["Tc", "Os", "Cr"], "frac_coords": [[0.659, 0.659, 0.341], [0.340, 0.340, 0.660], [0.001, 0.001, 0.999]], "space_group": "Fmm2", "crystal_system": "orthorhombic"}

---

Winner for stability: entry three

---

Entry one
{"formula": "CrTcOs2", "functional": "PBE", "state": "relaxed", "cell": [[-1.075, 3.926, -0.279], [-0.840, 2.130, 3.378], [3.480, 3.168, 1.332]], "species": ["Cr", "Tc", "Os", "Os"], "frac_coords": [[0.673, 0.673, 0.981], [0.484, 0.484, 0.549], [0.273, 0.273, 0.181], [0.071, 0.071, 0.788]], "space_group": "R3m", "crystal_system": "trigonal"}

---

Entry two
{"formula": "CrTcOs2", "functional": "PBE", "state": "relaxed", "cell": [[8.933, 0.014, 0.008], [8.521, 2.683, 0.008], [8.521, 1.316, 2.338]], "species": ["Os", "Os", "Cr", "Tc"], "frac_coords": [[0.003, 0.003, 0.003], [0.497, 0.497, 0.497], [0.750, 0.750, 0.750], [0.250, 0.250, 0.250]], "space_group": "R-3m", "crystal_system": "trigonal"}

---

Winner for stability: entry two

---

Entry one
{"formula": "Cr3TcOs", "functional": "PBE", "state": "relaxed", "cell": [[-2.187, 3.790, 0.530], [-3.699, -2.250, 0.829], [0.984, -0.033, 4.297]], "species": ["Cr", "Cr", "Cr", "Os", "Tc"], "frac_coords": [[0.000, 0.500, 0.000], [0.500, 0.000, 0.000], [0.000, 0.000, 0.500], [0.000, 0.000, 0.000], [0.500, 0.500, 0.500]], "space_group": "Pm-3m", "crystal_system": "cubic"}

---

Entry two
{"formula": "Cr3TcOs", "functional": "PBE", "state": "relaxed", "cell": [[-4.145, 0.544, 1.105], [0.698, -2.160, 3.681], [1.015, 3.707, 1.982]], "species": ["Cr", "Cr", "Cr", "Os", "Tc"], "frac_coords": [[0.000, 0.000, 0.500], [0.500, 0.000, 0.000], [0.000, 0.500, 0.000], [0.500, 0.500, 0.500], [0.000, 0.000, 0.000]], "space_group": "Pm-3m", "crystal_system": "cubic"}

---

Winner for stability: entry one

---

Entry one
{"formula": "TiCrOs3", "functional": "PBE", "state": "relaxed", "cell": [[4.473, 0.000, 0.000], [0.000, 4.473, 0.000], [0.000, 0.000, 4.473]], "species": ["Os", "Os", "Os", "Ti", "Cr"], "frac_coords": [[0.000, 0.500, 0.000], [0.000, 0.000, 0.500], [0.500, 0.000, 0.000], [0.000, 0.000, 0.000], [0.500, 0.500, 0.500]], "space_group": "Pm-3m", "crystal_system": "cubic"}

---

Entry two
{"formula": "TiCrOs3", "functional": "PBE", "state": "relaxed", "cell": [[4.420, 0.000, 0.000], [0.000, 4.420, 0.000], [0.000, 0.000, 4.420]], "species": ["Ti", "Os", "Os", "Os", "Cr"], "frac_coords": [[0.500, 0.500, 0.500], [0.500, 0.000, 0.000], [0.000, 0.500, 0.000], [0.000, 0.000, 0.500], [0.000, 0.000, 0.000]], "space_group": "Pm-3m", "crystal_system": "cubic"}

---

Winner for stability: entry two

---

Entry one
{"formula": "Tl2CrOs", "functional": "PBE", "state": "relaxed", "cell": [[-1.956, -4.380, -0.036], [-0.857, -2.278, 4.134], [-4.513, -0.624, 1.504]], "species": ["Cr", "Tl", "Tl", "Os"], "frac_coords": [[0.500, 0.500, 0.500], [0.000, 0.000, 0.000], [0.250, 0.250, 0.250], [0.750, 0.750, 0.750]], "space_group": "F-43m", "crystal_system": "cubic"}

---

Entry two
{"formula": "Tl2CrOs", "functional": "PBE", "state": "relaxed", "cell": [[3.268, 0.000, 0.000], [0.000, 5.207, 0.043], [0.000, 3.517, 4.537]], "species": ["Tl", "Tl", "Cr", "Os"], "frac_coords": [[0.500, 0.500, 0.000], [0.000, 0.000, 0.000], [0.500, 0.500, 0.500], [0.000, 0.000, 0.500]], "space_group": "P2/m", "crystal_system": "monoclinic"}

---

Entry three
{"formula": "Tl2CrOs", "functional": "PBE", "state": "relaxed", "cell": [[-3.552, -2.255, 2.146], [-4.277, -0.115, -2.001], [-1.659, -4.041, -1.796]], "species": ["Cr", "Tl", "Tl", "Os"], "frac_coords": [[0.000, 0.000, 0.000], [0.750, 0.750, 0.750], [0.250, 0.250, 0.250], [0.500, 0.500, 0.500]], "space_group": "Fm-3m", "crystal_system": "cubic"}

---

Entry four
{"formula": "Tl2CrOs", "functional": "PBE", "state": "relaxed", "cell": [[3.023, 0.010, 0.000], [-0.010, 3.023, 0.000], [0.000, 0.000, 8.774]], "species": ["Tl", "Tl", "Cr", "Os"], "frac_coords": [[0.000, 0.000, 0.955], [0.500, 0.500, 0.304], [0.000, 0.000, 0.550], [0.500, 0.500, 0.690]], "space_group": "P4mm", "crystal_system": "tetragonal"}

---

Winner for stability: entry four

---

Entry one
{"formula": "Tl2CrOs", "functional": "PBE", "state": "relaxed", "cell": [[3.438, 0.000, 0.000], [0.000, 3.438, 0.000], [0.000, 0.000, 6.459]], "species": ["Cr", "Os", "Tl", "Tl"], "frac_coords": [[0.500, 0.500, 0.250], [0.500, 0.500, 0.750], [0.000, 0.000, 0.507], [0.000, 0.000, 0.993]], "space_group": "P4/mmm", "crystal_system": "tetragonal"}

---

Entry two
{"formula": "Tl2CrOs", "functional": "PBE", "state": "relaxed", "cell": [[-3.954, -2.859, -0.199], [-1.259, -4.715, -0.177], [-0.785, -1.080, 5.060]], "species": ["Tl", "Tl", "Os", "Cr"], "frac_coords": [[0.997, 0.997, 0.005], [0.503, 0.503, 0.495], [0.250, 0.250, 0.250], [0.750, 0.750, 0.750]], "space_group": "C2/m", "crystal_system": "monoclinic"}

---

Entry three
{"formula": "Tl2CrOs", "functional": "PBE", "state": "relaxed", "cell": [[5.332, 0.101, 0.000], [2.041, 4.927, 0.000], [-3.687, -2.514, 2.921]], "species": ["Os", "Tl", "Tl", "Cr"], "frac_coords": [[0.750, 0.250, 0.500], [0.250, 0.750, 0.500], [0.000, 0.000, 0.000], [0.500, 0.500, 0.000]], "space_group": "I-4m2", "crystal_system": "tetragonal"}

---

Entry four
{"formula": "Tl2CrOs", "functional": "PBE", "state": "relaxed", "cell": [[-0.668, 1.602, -2.482], [-2.704, -1.292, -0.106], [-4.574, 5.730, 4.930]], "species": ["Os", "Tl", "Tl", "Cr"], "frac_coords": [[0.500, 0.841, 0.693], [0.500, 0.034, 0.303], [0.000, 0.212, 0.955], [0.000, 0.412, 0.548]], "space_group": "Pm", "crystal_system": "monoclinic"}

---

Winner for stability: entry four

---

Entry one
{"formula": "VCr2Os2", "functional": "PBE", "state": "relaxed", "cell": [[7.142, 0.000, 0.000], [0.000, 7.142, 0.000], [0.000, 0.000, 2.733]], "species": ["V", "V", "Os", "Os", "Os", "Os", "Cr", "Cr", "Cr", "Cr"], "frac_coords": [[0.500, 0.500, 0.000], [0.000, 0.000, 0.000], [0.635, 0.135, 0.000], [0.135, 0.365, 0.000], [0.365, 0.865, 0.000], [0.865, 0.635, 0.000], [0.164, 0.664, 0.500], [0.664, 0.836, 0.500], [0.836, 0.336, 0.500], [0.336, 0.164, 0.500]], "space_group": "P4/mbm", "crystal_system": "tetragonal"}

---

Entry two
{"formula": "VCr2Os2", "functional": "PBE", "state": "relaxed", "cell": [[-7.036, 0.105, -0.179], [-0.191, -0.886, 6.981], [0.032, 2.753, 0.350]], "species": ["Cr", "Cr", "Cr", "Cr", "V", "V", "Os", "Os", "Os", "Os"], "frac_coords": [[0.141, 0.359, 0.000], [0.859, 0.641, 0.000], [0.641, 0.141, 0.000], [0.359, 0.859, 0.000], [0.000, 0.000, 0.000], [0.500, 0.500, 0.000], [0.659, 0.841, 0.500], [0.341, 0.159, 0.500], [0.159, 0.659, 0.500], [0.841, 0.341, 0.500]], "space_group": "P4/mbm", "crystal_system": "tetragonal"}

---

Winner for stability: entry two

---

Entry one
{"formula": "V6CrOs", "functional": "PBE", "state": "relaxed", "cell": [[6.722, 0.012, -0.053], [3.354, 5.830, -0.088], [3.380, 1.976, 2.698]], "species": ["Cr", "V", "V", "V", "V", "V", "V", "Os"], "frac_coords": [[0.500, 0.500, 0.500], [0.000, 0.500, 0.753], [0.500, 0.747, 0.753], [0.747, 0.000, 0.753], [0.253, 0.000, 0.247], [0.500, 0.253, 0.247], [0.000, 0.500, 0.247], [0.000, 0.000, 0.000]], "space_group": "Pm-3", "crystal_system": "cubic"}

---

Entry two
{"formula": "V6CrOs", "functional": "PBE", "state": "relaxed", "cell": [[4.184, 0.000, 0.000], [0.000, 4.880, -1.738], [0.000, -0.025, 5.180]], "species": ["V", "V", "V", "V", "V", "V", "Cr", "Os"], "frac_coords": [[0.500, 0.125, 0.375], [0.000, 0.877, 0.123], [0.500, 0.625, 0.875], [0.000, 0.881, 0.631], [0.000, 0.373, 0.627], [0.000, 0.369, 0.119], [0.500, 0.125, 0.875], [0.500, 0.625, 0.375]], "space_group": "Cmmm", "crystal_system": "orthorhombic"}

---

Winner for stability: entry two